Entry one
VASP calculation (PBE) on a relaxed CePm2Pr crystal.

Lattice parameters (Å, degrees): 5.793 5.793 5.793 60.00 60.00 60.00
Atoms (fractional coordinates):
1 Pr 0.500 0.500 0.500
2 Ce 0.000 0.000 0.000
3 Pm 0.250 0.250 0.250
4 Pm 0.750 0.750 0.750

Properties
density = 6.90 g/cm3
density of states at the Fermi level = 13.10 states/eV/cell
symmetry = Fm-3m (225)
spin magnetization = 2.3 μB/f.u.

Entry two
VASP calculation (PBE) on a relaxed CePm2Pr crystal.

Lattice parameters (Å, degrees): 5.125 5.135 5.135 90.00 90.00 90.00
Atoms (fractional coordinates):
1 Pm 0.000 0.500 0.000
2 Pm 0.000 0.000 0.500
3 Ce 0.500 0.500 0.500
4 Pr 0.500 0.000 0.000

Properties
density = 7.02 g/cm3
density of states at the Fermi level = 8.83 states/eV/cell
symmetry = P4/mmm (123)
spin magnetization = 0.8 μB/f.u.

Entry three
VASP calculation (PBE) on a relaxed CePm2Pr crystal.

Lattice parameters (Å, degrees): 3.630 3.630 12.042 81.33 81.33 60.00
Atoms (fractional coordinates):
1 Pm 0.085 0.085 0.746
2 Pm 0.248 0.248 0.255
3 Pr 0.667 0.667 0.000
4 Ce 0.500 0.500 0.499

Properties
density = 7.01 g/cm3
density of states at the Fermi level = 8.23 states/eV/cell
symmetry = R3m (160)
spin magnetization = 1.0 μB/f.u.

Entry four
VASP calculation (PBE) on a relaxed CePm2Pr crystal.

Lattice parameters (Å, degrees): 3.527 3.527 12.664 82.00 82.00 60.00
Atoms (fractional coordinates):
1 Pr 0.000 0.000 0.000
2 Ce 0.500 0.500 0.500
3 Pm 0.908 0.908 0.276
4 Pm 0.092 0.092 0.724

Properties
density = 7.04 g/cm3
density of states at the Fermi level = 6.97 states/eV/cell
symmetry = R-3m (166)
spin magnetization = 0.2 μB/f.u.

How far above the most stable structure does each one sit? In meV per atom: entry one 134; entry two 11; entry three 0; entry four 97.

Entry one
VASP calculation (PBE) on a relaxed Ce2PmPt crystal.

Lattice parameters (Å, degrees): 3.736 3.736 7.791 90.00 90.00 90.00
Atoms (fractional coordinates):
1 Pt 0.500 0.500 0.000
2 Ce 0.000 0.000 0.193
3 Ce 0.000 0.000 0.807
4 Pm 0.500 0.500 0.500

Properties
density = 9.47 g/cm3
density of states at the Fermi level = 9.66 states/eV/cell
symmetry = P4/mmm (123)
spin magnetization = 0.8 μB/f.u.

Entry two
VASP calculation (PBE) on a relaxed Ce2PmPt crystal.

Lattice parameters (Å, degrees): 3.860 3.860 9.580 78.38 78.38 60.00
Atoms (fractional coordinates):
1 Ce 0.269 0.269 0.193
2 Ce 0.065 0.065 0.805
3 Pm 0.499 0.499 0.503
4 Pt 0.667 0.667 0.998

Properties
density = 8.57 g/cm3
density of states at the Fermi level = 10.32 states/eV/cell
symmetry = R3m (160)
spin magnetization = 1.2 μB/f.u.

How far above the most stable structure does each one sit? In meV per atom: entry one 0; entry two 57.